one:
DFT (PBE) results for a relaxed structure of Ce12PuAu6.

Properties
- SG = R-3

a b c (Å): 8.267 8.267 8.267
angles (deg): 96.79 96.79 96.79
Last column: magnetic moment on the atom in μB.
Sites, in units of the cell vectors:
Ce: 0.233 0.448 0.603  0.69
Ce: 0.603 0.233 0.448  0.69
Ce: 0.023 0.707 0.933  0.01
Ce: 0.933 0.023 0.707  0.01
Ce: 0.977 0.293 0.067  0.01
Ce: 0.397 0.767 0.552  0.69
Ce: 0.293 0.067 0.977  0.01
Ce: 0.552 0.397 0.767  0.69
Ce: 0.707 0.933 0.023  0.01
Ce: 0.448 0.603 0.233  0.69
Ce: 0.067 0.977 0.293  0.01
Ce: 0.767 0.552 0.397  0.69
Au: 0.608 0.297 0.099  0.01
Au: 0.099 0.608 0.297  0.01
Au: 0.901 0.392 0.703  0.01
Au: 0.703 0.901 0.392  0.01
Au: 0.297 0.099 0.608  0.01
Au: 0.392 0.703 0.901  0.01
Pu: 0.000 0.000 0.000  0.01



two:
DFT (PBE) results for a relaxed structure of Ce12PuAu6.

Properties
- SG = R-3

a b c (Å): 8.560 8.560 8.560
angles (deg): 108.95 108.95 108.95
Last column: magnetic moment on the atom in μB.
Sites, in units of the cell vectors:
Au: 0.219 0.459 0.098  0.01
Au: 0.541 0.902 0.781  0.01
Au: 0.459 0.098 0.219  0.01
Au: 0.098 0.219 0.459  0.01
Au: 0.781 0.541 0.902  0.01
Au: 0.902 0.781 0.541  0.01
Ce: 0.852 0.422 0.562  0.37
Ce: 0.704 0.898 0.176  0.55
Ce: 0.824 0.296 0.102  0.55
Ce: 0.578 0.438 0.148  0.37
Ce: 0.438 0.148 0.578  0.37
Ce: 0.102 0.824 0.296  0.55
Ce: 0.296 0.102 0.824  0.55
Ce: 0.562 0.852 0.422  0.37
Ce: 0.176 0.704 0.898  0.55
Ce: 0.148 0.578 0.438  0.37
Ce: 0.422 0.562 0.852  0.37
Ce: 0.898 0.176 0.704  0.55
Pu: 0.000 0.000 0.000  5.68



What should be chosen as the least stable of them? Choose two.



one:
DFT (PBE) results for a relaxed structure of Ce2Pu3Au3.

Properties
- SG = Immm

a b c (Å): 3.665 5.375 10.129
angles (deg): 105.39 100.42 90.00
Last column: magnetic moment on the atom in μB.
Sites, in units of the cell vectors:
Au: 0.133 0.133 0.265  0.00
Au: 0.867 0.867 0.735  0.00
Au: 0.000 0.500 0.000  -0.01
Ce: 0.764 0.264 0.528  -0.33
Ce: 0.236 0.736 0.472  -0.33
Pu: 0.500 0.000 0.000  5.33
Pu: 0.371 0.371 0.742  -5.20
Pu: 0.629 0.629 0.258  -5.20



two:
DFT (PBE) results for a relaxed structure of Ce2Pu3Au3.

Properties
- SG = P2_1/m

a b c (Å): 5.554 7.710 12.205
angles (deg): 90.00 90.00 132.68
Last column: magnetic moment on the atom in μB.
Sites, in units of the cell vectors:
Pu: 0.504 0.898 0.250  5.25
Pu: 0.643 0.251 0.005  -5.49
Pu: 0.357 0.749 0.505  -5.49
Pu: 0.357 0.749 0.995  -5.49
Pu: 0.496 0.102 0.750  5.25
Pu: 0.643 0.251 0.495  -5.49
Au: 0.087 0.217 0.870  -0.03
Au: 0.154 0.592 0.750  0.00
Au: 0.846 0.408 0.250  0.00
Au: 0.087 0.217 0.630  -0.03
Au: 0.913 0.783 0.130  -0.03
Au: 0.913 0.783 0.370  -0.03
Ce: 0.781 0.711 0.613  -0.69
Ce: 0.781 0.711 0.887  -0.69
Ce: 0.219 0.289 0.113  -0.69
Ce: 0.219 0.289 0.387  -0.69



What should be chosen as the least stable of them? Choose two.



one:
DFT (PBE) results for a relaxed structure of Ce3PuAu.

Properties
- SG = Pnma

a b c (Å): 6.217 7.979 10.029
angles (deg): 90.00 90.00 90.00
Last column: magnetic moment on the atom in μB.
Sites, in units of the cell vectors:
Pu: 0.000 0.500 0.500  4.31
Pu: 0.000 0.500 0.000  4.31
Pu: 0.500 0.000 0.500  4.31
Pu: 0.500 0.000 0.000  4.31
Au: 0.370 0.590 0.250  0.00
Au: 0.870 0.910 0.750  0.00
Au: 0.130 0.090 0.250  0.00
Au: 0.630 0.410 0.750  0.00
Ce: 0.391 0.307 0.456  0.14
Ce: 0.863 0.446 0.250  0.39
Ce: 0.109 0.807 0.456  0.14
Ce: 0.609 0.693 0.544  0.14
Ce: 0.637 0.946 0.250  0.39
Ce: 0.137 0.554 0.750  0.39
Ce: 0.891 0.193 0.544  0.14
Ce: 0.109 0.807 0.044  0.14
Ce: 0.391 0.307 0.044  0.14
Ce: 0.609 0.693 0.956  0.14
Ce: 0.363 0.054 0.750  0.39
Ce: 0.891 0.193 0.956  0.14



two:
DFT (PBE) results for a relaxed structure of Ce3PuAu.

Properties
- SG = P2_1/m

a b c (Å): 5.722 6.525 7.121
angles (deg): 90.00 99.56 90.00
Last column: magnetic moment on the atom in μB.
Sites, in units of the cell vectors:
Ce: 0.788 0.003 0.168  0.10
Ce: 0.322 0.750 0.385  0.22
Ce: 0.788 0.497 0.168  0.10
Ce: 0.212 0.503 0.832  0.10
Ce: 0.212 0.997 0.832  0.10
Ce: 0.678 0.250 0.615  0.22
Au: 0.688 0.750 0.795  0.00
Au: 0.312 0.250 0.205  0.00
Pu: 0.115 0.250 0.556  4.15
Pu: 0.885 0.750 0.444  4.15



What should be chosen as the least stable of them? Choose one.



one:
DFT (PBE) results for a relaxed structure of CePuAu4.

Properties
- SG = Cmcm

a b c (Å): 4.891 6.418 9.048
angles (deg): 69.20 90.00 90.00
Last column: magnetic moment on the atom in μB.
Sites, in units of the cell vectors:
Au: 0.250 0.285 0.417  0.01
Au: 0.750 0.715 0.583  0.01
Au: 0.750 0.040 0.917  0.01
Au: 0.250 0.457 0.083  0.01
Au: 0.250 0.798 0.417  0.01
Au: 0.750 0.543 0.917  0.01
Au: 0.250 0.960 0.083  0.01
Au: 0.750 0.202 0.583  0.01
Pu: 0.750 0.127 0.247  5.43
Pu: 0.250 0.873 0.753  5.43
Ce: 0.250 0.377 0.747  0.96
Ce: 0.750 0.623 0.253  0.96



two:
DFT (PBE) results for a relaxed structure of CePuAu4.

Properties
- SG = P2/m

a b c (Å): 4.260 5.616 7.021
angles (deg): 70.08 90.01 89.99
Last column: magnetic moment on the atom in μB.
Sites, in units of the cell vectors:
Au: 0.501 0.062 0.779  0.01
Au: 0.001 0.433 0.715  -0.01
Au: 0.501 0.933 0.218  0.01
Au: 0.001 0.561 0.281  -0.01
Ce: 0.501 0.497 0.998  0.70
Pu: 0.001 0.997 0.498  -5.27



three:
DFT (PBE) results for a relaxed structure of CePuAu4.

Properties
- SG = F-43m

a b c (Å): 5.718 5.718 5.718
angles (deg): 60.00 60.00 60.00
Last column: magnetic moment on the atom in μB.
Sites, in units of the cell vectors:
Au: 0.625 0.625 0.125  0.04
Au: 0.625 0.125 0.625  0.04
Au: 0.125 0.625 0.625  0.04
Au: 0.625 0.625 0.625  0.04
Ce: 0.000 0.000 0.000  1.05
Pu: 0.250 0.250 0.250  5.55



What should be chosen as the least stable of them? Choose two.



one:
DFT (PBE) results for a relaxed structure of Ce5Pu2Au2.

Properties
- SG = Cmce

a b c (Å): 6.964 6.969 9.509
angles (deg): 111.49 90.00 90.00
Last column: magnetic moment on the atom in μB.
Sites, in units of the cell vectors:
Pu: 0.881 0.382 0.000  1.24
Pu: 0.619 0.882 0.000  1.25
Pu: 0.119 0.618 0.000  1.24
Pu: 0.381 0.118 0.000  1.25
Ce: 0.795 0.162 0.737  -0.02
Ce: 0.205 0.575 0.737  -0.02
Ce: 0.795 0.425 0.263  -0.02
Ce: 0.295 0.075 0.737  -0.02
Ce: 0.705 0.662 0.737  -0.02
Ce: 0.705 0.925 0.263  -0.02
Ce: 0.295 0.338 0.263  -0.02
Ce: 0.000 0.000 0.000  0.00
Ce: 0.205 0.838 0.263  -0.02
Ce: 0.500 0.500 0.000  0.00
Au: 0.500 0.264 0.528  0.00
Au: 0.000 0.764 0.528  0.00
Au: 0.000 0.236 0.472  0.00
Au: 0.500 0.736 0.472  0.00



two:
DFT (PBE) results for a relaxed structure of Ce5Pu2Au2.

Properties
- SG = P4/mmm

a b c (Å): 5.102 5.102 8.126
angles (deg): 90.00 90.00 90.00
Last column: magnetic moment on the atom in μB.
Sites, in units of the cell vectors:
Ce: 0.037 0.537 0.230  -0.17
Ce: 0.037 0.537 0.770  -0.17
Ce: 0.537 0.037 0.230  -0.17
Ce: 0.537 0.037 0.770  -0.17
Ce: 0.537 0.537 0.500  0.23
Pu: 0.537 0.537 0.142  -2.09
Pu: 0.537 0.537 0.858  -2.09
Au: 0.037 0.037 0.000  -0.01
Au: 0.037 0.037 0.500  0.00



What should be chosen as the least stable of them? Choose one.



one:
DFT (PBE) results for a relaxed structure of CePu2Au2.

Properties
- SG = P-3m1

a b c (Å): 3.722 3.722 9.579
angles (deg): 90.00 90.00 120.00
Last column: magnetic moment on the atom in μB.
Sites, in units of the cell vectors:
Pu: 0.333 0.667 0.556  0.01
Pu: 0.667 0.333 0.444  0.01
Au: 0.333 0.667 0.219  0.00
Au: 0.667 0.333 0.781  0.00
Ce: 0.000 0.000 0.000  0.60



two:
DFT (PBE) results for a relaxed structure of CePu2Au2.

Properties
- SG = R-3m

a b c (Å): 4.960 4.960 6.020
angles (deg): 65.67 65.67 60.00
Last column: magnetic moment on the atom in μB.
Sites, in units of the cell vectors:
Pu: 0.908 0.908 0.275  5.40
Pu: 0.092 0.092 0.725  5.40
Au: 0.297 0.297 0.109  -0.01
Au: 0.703 0.703 0.891  -0.01
Ce: 0.500 0.500 0.500  1.06



What should be chosen as the least stable of them? Choose one.